No. 1
Density functional theory data (PBE) for a geometry-optimized SrAgGe2 structure.

* final energy: -3.575 eV per atom
* total magnetic moment: 0.000 μB/atom
* N(E_F): 7.309 states/eV/cell

a = 4.9405 Å, b = 4.9405 Å, c = 18.2391 Å
α = 90.00°, β = 90.00°, γ = 90.00°
Space group I-42d (No. 122)
One atom of each set of equivalent atoms:
Sr: 0.0000 0.0000 0.0000 (multiplicity 4)
Ag: 0.0000 0.0000 0.5000 (multiplicity 4)
Ge: 0.0675 0.2500 0.6250 (multiplicity 8)

No. 2
Density functional theory data (PBE) for a geometry-optimized SrAgGe2 structure.

* final energy: -3.830 eV per atom
* total magnetic moment: 0.000 μB/atom
* N(E_F): 5.867 states/eV/cell

a = 7.2435 Å, b = 4.5187 Å, c = 11.5312 Å
α = 90.00°, β = 90.00°, γ = 90.00°
Space group Pnma (No. 62)
One atom of each set of equivalent atoms:
Sr: 0.1451 0.2500 0.1405 (multiplicity 4)
Ag: 0.1435 0.2500 0.4359 (multiplicity 4)
Ge: 0.0313 0.2500 0.6583 (multiplicity 4)
Ge: 0.1790 0.2500 0.8573 (multiplicity 4)

What did the second record say?
Density functional theory data (PBE) for a geometry-optimized SrAgGe2 structure.

* final energy: -3.830 eV per atom
* total magnetic moment: 0.000 μB/atom
* N(E_F): 5.867 states/eV/cell

a = 7.2435 Å, b = 4.5187 Å, c = 11.5312 Å
α = 90.00°, β = 90.00°, γ = 90.00°
Space group Pnma (No. 62)
One atom of each set of equivalent atoms:
Sr: 0.1451 0.2500 0.1405 (multiplicity 4)
Ag: 0.1435 0.2500 0.4359 (multiplicity 4)
Ge: 0.0313 0.2500 0.6583 (multiplicity 4)
Ge: 0.1790 0.2500 0.8573 (multiplicity 4)